1.
Computed, not measured: a relaxed structure of LiIr2 at the PBE level of DFT.

As for the total DFT energy (no corrections): -6.565 eV per atom. For the theoretical density, the calculation gives 15.4 g/cm3.

a b c (Å): 9.792 2.701 6.597
angles (deg): 90.00 104.33 90.00
Space group C2/m (No. 12)
Symmetry-distinct sites (fractional):
Li (0.135, 0.000, 0.026) x4
Ir (0.028, 0.500, 0.307) x4
Ir (0.195, 0.000, 0.640) x4


2.
Computed, not measured: a relaxed structure of Li3Ir at the PBE level of DFT.

As for the total DFT energy (no corrections): -3.618 eV per atom. For the theoretical density, the calculation gives 6.6 g/cm3.

a b c (Å): 5.2918 5.2918 8.7834
angles (deg): 90.00 90.00 120.00
Space group P6_3/mmc (No. 194)
Symmetry-distinct sites (fractional):
Li (0.0000, 0.5000, 0.0000) x6
Li (0.1570, 0.3140, 0.2500) x6
Ir (0.0000, 0.0000, 0.0000) x2
Ir (0.3333, 0.6667, 0.7500) x2


3.
Computed, not measured: a relaxed structure of Li5Ir3 at the PBE level of DFT.

The value obtained for the energy above the most stable polymorph in this dataset is 201 meV/atom. For the theoretical density, the calculation gives 8.2 g/cm3.

a b c (Å): 7.9522 7.9522 4.5427
angles (deg): 90.00 90.00 120.00
Space group P6_3/mcm (No. 193)
Symmetry-distinct sites (fractional):
Li (0.0000, 0.2350, 0.2500) x6
Li (0.3333, 0.6667, 0.0000) x4
Ir (0.0000, 0.4427, 0.7500) x6


4.
Computed, not measured: a relaxed structure of LiIr at the PBE level of DFT.

As for the total DFT energy (no corrections): -5.480 eV per atom. For the theoretical density, the calculation gives 13.0 g/cm3.

a b c (Å): 4.256 12.500 2.867
angles (deg): 90.00 90.00 90.00
Space group Cmmm (No. 65)
Symmetry-distinct sites (fractional):
Li (0.000, 0.000, 0.000) x2
Li (0.000, 0.153, 0.500) x4
Ir (0.000, 0.323, 0.000) x4
Ir (0.000, 0.500, 0.500) x2


5.
Computed, not measured: a relaxed structure of LiIr at the PBE level of DFT.

As for the total DFT energy (no corrections): -5.620 eV per atom. For the theoretical density, the calculation gives 12.0 g/cm3.

a b c (Å): 2.683 4.454 4.600
angles (deg): 90.00 90.00 90.00
Space group Pmmn (No. 59, origin choice 2)
Symmetry-distinct sites (fractional):
Li (0.250, 0.250, 0.059) x2
Ir (0.250, 0.750, 0.446) x2


6.
Computed, not measured: a relaxed structure of LiIr at the PBE level of DFT.

As for the total DFT energy (no corrections): -5.558 eV per atom. For the theoretical density, the calculation gives 12.0 g/cm3.

a b c (Å): 9.556 2.680 4.768
angles (deg): 90.00 115.24 90.00
Space group C2/m (No. 12)
Symmetry-distinct sites (fractional):
Li (0.120, 0.000, 0.463) x4
Ir (0.130, 0.500, 0.979) x4


7.
Computed, not measured: a relaxed structure of LiIr at the PBE level of DFT.

As for the total DFT energy (no corrections): -5.512 eV per atom. For the theoretical density, the calculation gives 11.9 g/cm3.

a b c (Å): 2.631 9.890 4.275
angles (deg): 90.00 90.00 90.00
Space group Cmcm (No. 63)
Symmetry-distinct sites (fractional):
Li (0.000, 0.044, 0.250) x4
Ir (0.000, 0.294, 0.250) x4


8.
Computed, not measured: a relaxed structure of Li2Ir at the PBE level of DFT.

As for the total DFT energy (no corrections): -4.367 eV per atom. For the theoretical density, the calculation gives 7.8 g/cm3.

a b c (Å): 2.7069 2.7069 6.9443
angles (deg): 90.00 90.00 120.00
Space group P-3m1 (No. 164)
Symmetry-distinct sites (fractional):
Li (0.3333, 0.6667, 0.3059) x2
Ir (0.0000, 0.0000, 0.0000) x1


9.
Computed, not measured: a relaxed structure of LiIr at the PBE level of DFT.

As for the total DFT energy (no corrections): -5.500 eV per atom. For the theoretical density, the calculation gives 12.5 g/cm3.

a b c (Å): 5.967 5.967 5.967
angles (deg): 90.00 90.00 90.00
Space group Fd-3m (No. 227, origin choice 2)
Symmetry-distinct sites (fractional):
Li (0.125, 0.125, 0.125) x8
Ir (0.125, 0.125, 0.625) x8


10.
Computed, not measured: a relaxed structure of LiIr2 at the PBE level of DFT.

As for the total DFT energy (no corrections): -6.438 eV per atom. For the theoretical density, the calculation gives 16.6 g/cm3.

a b c (Å): 6.199 6.199 4.081
angles (deg): 90.00 90.00 90.00
Space group I4/mcm (No. 140)
Symmetry-distinct sites (fractional):
Li (0.000, 0.000, 0.250) x4
Ir (0.146, 0.354, 0.000) x8


11.
Computed, not measured: a relaxed structure of Li5Ir3 at the PBE level of DFT.

The value obtained for the energy above the most stable polymorph in this dataset is 24 meV/atom. For the theoretical density, the calculation gives 9.0 g/cm3.

a b c (Å): 5.053 9.797 18.145
angles (deg): 90.00 90.00 90.00
Space group Fmmm (No. 69)
Symmetry-distinct sites (fractional):
Li (0.000, 0.124, 0.139) x16
Li (0.000, 0.141, 0.377) x16
Li (0.248, 0.000, 0.000) x8
Ir (0.000, 0.000, 0.266) x8
Ir (0.000, 0.239, 0.000) x8
Ir (0.250, 0.250, 0.250) x8


12.
Computed, not measured: a relaxed structure of LiIr at the PBE level of DFT.

As for the total DFT energy (no corrections): -5.333 eV per atom. For the theoretical density, the calculation gives 11.2 g/cm3.

a b c (Å): 7.556 7.556 4.142
angles (deg): 90.00 90.00 90.00
Space group I4/mmm (No. 139)
Symmetry-distinct sites (fractional):
Li (0.000, 0.292, 0.000) x8
Ir (0.165, 0.165, 0.500) x8


13.
Computed, not measured: a relaxed structure of Li2Ir at the PBE level of DFT.

As for the total DFT energy (no corrections): -4.144 eV per atom. For the theoretical density, the calculation gives 9.5 g/cm3.

a b c (Å): 6.601 6.601 6.601
angles (deg): 90.00 90.00 90.00
Space group Fd-3m (No. 227, origin choice 2)
Symmetry-distinct sites (fractional):
Li (0.000, 0.000, 0.000) x16
Ir (0.125, 0.125, 0.625) x8